Entry 1:
# LaBeAs2 GGA-PBE relaxed
data_LaBeAs2
_chemical_formula_sum 'La2 Be2 As4'
_space_group_name_H-M_alt 'C 1 m 1'
_space_group_IT_number 8
_cell_length_a 11.215
_cell_length_b 4.074
_cell_length_c 4.440
_cell_angle_alpha 90.00
_cell_angle_beta 110.34
_cell_angle_gamma 90.00
loop_
_space_group_symop_operation_xyz
'x,y,z'
'x,-y,z'
'x+1/2,y+1/2,z'
'x+1/2,-y+1/2,z'
loop_
_atom_site_label
_atom_site_fract_x
_atom_site_fract_y
_atom_site_fract_z
_atom_site_occupancy
La1 0.000 0.000 0.000 1
Be1 0.324 0.000 0.348 1
As1 0.034 0.500 0.526 1
As2 0.251 0.500 0.356 1
# Formation energy: -576 meV/atom
# Total magnetization: 0.00 μB/f.u.
# DFT total energy: -0.3722 Ry/atom
# Calculated density: 5.20 g/cm³

=====

Entry 2:
# Cs9Rb6Pb GGA-PBE relaxed
data_Cs9Rb6Pb
_chemical_formula_sum 'Cs18 Rb12 Pb2'
_space_group_name_H-M_alt 'I 4/m'
_space_group_IT_number 87
_space_group_name_Hall '-I 4'
_cell_length_a 12.039
_cell_length_b 12.039
_cell_length_c 21.616
_cell_angle_alpha 90.00
_cell_angle_beta 90.00
_cell_angle_gamma 90.00
loop_
_atom_site_label
_atom_site_fract_x
_atom_site_fract_y
_atom_site_fract_z
_atom_site_occupancy
Cs1 0.000 0.000 0.000 1
Cs2 0.116 0.308 0.160 1
Rb1 0.000 0.000 0.330 1
Rb2 0.094 0.291 0.500 1
Pb1 0.000 0.000 0.500 1
# Formation energy: 0 meV/atom
# Total magnetization: 0.00 μB/f.u.
# DFT total energy: -0.0790 Ry/atom
# Calculated density: 2.03 g/cm³

=====

Entry 3:
# NbV2Te2S4 GGA-PBE relaxed
data_NbV2Te2S4
_chemical_formula_sum 'Nb1 V2 Te2 S4'
_space_group_name_H-M_alt 'P 3 m 1'
_space_group_IT_number 156
_cell_length_a 3.2814
_cell_length_b 3.2814
_cell_length_c 21.0468
_cell_angle_alpha 90.00
_cell_angle_beta 90.00
_cell_angle_gamma 120.00
loop_
_space_group_symop_operation_xyz
'x,y,z'
'-y,x-y,z'
'-x+y,-x,z'
'-y,-x,z'
'-x+y,y,z'
'x,x-y,z'
loop_
_atom_site_label
_atom_site_fract_x
_atom_site_fract_y
_atom_site_fract_z
_atom_site_occupancy
Nb1 0.0000 0.0000 0.0000 1
V1 0.0000 0.0000 0.6353 1
V2 0.6667 0.3333 0.3331 1
Te1 0.6667 0.3333 0.1002 1
Te2 0.6667 0.3333 0.9002 1
S1 0.0000 0.0000 0.2634 1
S2 0.0000 0.0000 0.4022 1
S3 0.6667 0.3333 0.5661 1
S4 0.6667 0.3333 0.7051 1
# ΔE_f (raw): -0.65 eV per atom
# Total magnetization: 1.64 μB/f.u.
# DFT total energy: -0.4650 Ry/atom
# Calculated density: 4.89 g/cm³

=====

Entry 4:
# TlGeTe2 GGA-PBE relaxed
data_TlGeTe2
_chemical_formula_sum 'Tl16 Ge16 Te32'
_space_group_name_H-M_alt 'C 1 2/c 1'
_space_group_IT_number 15
_cell_length_a 11.825
_cell_length_b 11.847
_cell_length_c 16.642
_cell_angle_alpha 90.00
_cell_angle_beta 99.40
_cell_angle_gamma 90.00
loop_
_space_group_symop_operation_xyz
'x,y,z'
'-x,-y,-z'
'-x,y,-z+1/2'
'x,-y,z+1/2'
'x+1/2,y+1/2,z'
'-x+1/2,-y+1/2,-z'
'-x+1/2,y+1/2,-z+1/2'
'x+1/2,-y+1/2,z+1/2'
loop_
_atom_site_label
_atom_site_fract_x
_atom_site_fract_y
_atom_site_fract_z
_atom_site_occupancy
Tl1 0.004 0.154 0.092 1
Tl2 0.189 0.473 0.119 1
Ge1 0.095 0.186 0.665 1
Ge2 0.149 0.438 0.830 1
Te1 0.000 0.021 0.750 1
Te2 0.000 0.396 0.250 1
Te3 0.039 0.339 0.943 1
Te4 0.198 0.055 0.563 1
Te5 0.217 0.206 0.248 1
# ΔE_f (raw): -0.12 eV per atom
# Total magnetization: 0.00 μB/f.u.
# DFT total energy: -0.2523 Ry/atom
# Energy relative to the lowest polymorph listed for this composition: 0.10 eV per formula unit
# Calculated density: 6.15 g/cm³

=====

Entry 5:
# AcScIn2O6 GGA-PBE relaxed
data_AcScIn2O6
_chemical_formula_sum 'Ac3 Sc3 In6 O18'
_space_group_name_H-M_alt 'R 3'
_space_group_IT_number 146
_space_group_name_Hall 'R 3'
_cell_length_a 5.7393
_cell_length_b 5.7393
_cell_length_c 14.9591
_cell_angle_alpha 90.00
_cell_angle_beta 90.00
_cell_angle_gamma 120.00
loop_
_atom_site_label
_atom_site_fract_x
_atom_site_fract_y
_atom_site_fract_z
_atom_site_occupancy
Ac1 0.0000 0.0000 0.0000 1
Sc1 0.0000 0.0000 0.4738 1
In1 0.0000 0.0000 0.2622 1
In2 0.0000 0.0000 0.7728 1
O1 0.0038 0.3170 0.8647 1
O2 0.0348 0.6087 0.0395 1
# ΔE_f (raw): -2.45 eV per atom
# Total magnetization: 0.00 μB/f.u.
# DFT total energy: -0.5155 Ry/atom
# Calculated density: 6.98 g/cm³

=====

Entry 6:
# NaIn2Ru2 GGA-PBE relaxed
data_NaIn2Ru2
_chemical_formula_sum 'Na2 In4 Ru4'
_space_group_name_H-M_alt 'P 4/m b m'
_space_group_IT_number 127
_space_group_name_Hall '-P 4 2ab'
_cell_length_a 8.007
_cell_length_b 8.007
_cell_length_c 2.997
_cell_angle_alpha 90.00
_cell_angle_beta 90.00
_cell_angle_gamma 90.00
loop_
_atom_site_label
_atom_site_fract_x
_atom_site_fract_y
_atom_site_fract_z
_atom_site_occupancy
Na1 0.000 0.000 0.000 1
In1 0.181 0.319 0.500 1
Ru1 0.112 0.612 0.000 1
# Formation energy: 167 meV/atom
# Total magnetization: 0.36 μB/f.u.
# DFT total energy: -0.3603 Ry/atom
# Calculated density: 7.86 g/cm³

=====

Entry 7:
# Y2BTe GGA-PBE relaxed
data_Y2BTe
_chemical_formula_sum 'Y8 B4 Te4'
_space_group_name_H-M_alt 'I -4 2 d'
_space_group_IT_number 122
_space_group_name_Hall 'I -4 2bw'
_cell_length_a 7.422
_cell_length_b 7.422
_cell_length_c 7.220
_cell_angle_alpha 90.00
_cell_angle_beta 90.00
_cell_angle_gamma 90.00
loop_
_atom_site_label
_atom_site_fract_x
_atom_site_fract_y
_atom_site_fract_z
_atom_site_occupancy
Y1 0.184 0.750 0.125 1
B1 0.000 0.000 0.000 1
Te1 0.000 0.000 0.500 1
# ΔE_f (raw): -0.42 eV per atom
# Total magnetization: 0.00 μB/f.u.
# DFT total energy: -0.4485 Ry/atom
# Energy relative to the lowest polymorph listed for this composition: 1.07 eV per formula unit
# Calculated density: 5.28 g/cm³

=====

Entry 8:
# ZnRu5 GGA-PBE relaxed
data_ZnRu5
_chemical_formula_sum 'Zn2 Ru10'
_space_group_name_H-M_alt 'C m m m'
_space_group_IT_number 65
_space_group_name_Hall '-C 2 2'
_cell_length_a 3.793
_cell_length_b 11.631
_cell_length_c 3.817
_cell_angle_alpha 90.00
_cell_angle_beta 90.00
_cell_angle_gamma 90.00
loop_
_atom_site_label
_atom_site_fract_x
_atom_site_fract_y
_atom_site_fract_z
_atom_site_occupancy
Zn1 0.000 0.000 0.000 1
Ru1 0.000 0.169 0.500 1
Ru2 0.000 0.326 0.000 1
Ru3 0.000 0.500 0.500 1
# Formation energy: 141 meV/atom
# Total magnetization: 0.00 μB/f.u.
# DFT total energy: -0.5733 Ry/atom
# Calculated density: 11.26 g/cm³

=====

Entry 9:
# AcGdPbI GGA-PBE relaxed
data_AcGdPbI
_chemical_formula_sum 'Ac4 Gd4 Pb4 I4'
_space_group_name_H-M_alt 'F -4 3 m'
_space_group_IT_number 216
_space_group_name_Hall 'F -4 2 3'
_cell_length_a 8.074
_cell_length_b 8.074
_cell_length_c 8.074
_cell_angle_alpha 90.00
_cell_angle_beta 90.00
_cell_angle_gamma 90.00
loop_
_atom_site_label
_atom_site_fract_x
_atom_site_fract_y
_atom_site_fract_z
_atom_site_occupancy
Ac1 0.000 0.000 0.000 1
Gd1 0.000 0.000 0.500 1
Pb1 0.250 0.250 0.250 1
I1 0.250 0.250 0.750 1
# ΔE_f (raw): -0.66 eV per atom
# Total magnetization: 7.65 μB/f.u.
# DFT total energy: -0.4796 Ry/atom
# Calculated density: 9.07 g/cm³

=====

Entry 10:
# La2TaRh GGA-PBE relaxed
data_La2TaRh
_chemical_formula_sum 'La2 Ta1 Rh1'
_space_group_name_H-M_alt 'P 4/m m m'
_space_group_IT_number 123
_space_group_name_Hall '-P 4 2'
_cell_length_a 3.400
_cell_length_b 3.400
_cell_length_c 8.456
_cell_angle_alpha 90.00
_cell_angle_beta 90.00
_cell_angle_gamma 90.00
loop_
_atom_site_label
_atom_site_fract_x
_atom_site_fract_y
_atom_site_fract_z
_atom_site_occupancy
La1 0.000 0.000 0.225 1
Ta1 0.500 0.500 0.500 1
Rh1 0.500 0.500 0.000 1
# Formation energy: 109 meV/atom
# Total magnetization: 0.00 μB/f.u.
# DFT total energy: -0.5260 Ry/atom
# Energy relative to the lowest polymorph listed for this composition: 0.95 eV per formula unit
# Calculated density: 9.54 g/cm³

=====

Entry 11:
# MnV2Ir GGA-PBE relaxed
data_MnV2Ir
_chemical_formula_sum 'Mn1 V2 Ir1'
_space_group_name_H-M_alt 'P 4/m m m'
_space_group_IT_number 123
_space_group_name_Hall '-P 4 2'
_cell_length_a 2.849
_cell_length_b 2.849
_cell_length_c 6.373
_cell_angle_alpha 90.00
_cell_angle_beta 90.00
_cell_angle_gamma 90.00
loop_
_atom_site_label
_atom_site_fract_x
_atom_site_fract_y
_atom_site_fract_z
_atom_site_occupancy
Mn1 0.000 0.000 0.000 1
V1 0.500 0.500 0.225 1
Ir1 0.000 0.000 0.500 1
# Formation energy: -311 meV/atom
# Total magnetization: 0.00 μB/f.u.
# DFT total energy: -0.6893 Ry/atom
# Calculated density: 11.20 g/cm³

=====

Entry 12:
# KMo3 GGA-PBE relaxed
data_KMo3
_chemical_formula_sum 'K2 Mo6'
_space_group_name_H-M_alt 'P m -3 n'
_space_group_IT_number 223
_space_group_name_Hall '-P 4n 2 3'
_cell_length_a 5.241
_cell_length_b 5.241
_cell_length_c 5.241
_cell_angle_alpha 90.00
_cell_angle_beta 90.00
_cell_angle_gamma 90.00
loop_
_atom_site_label
_atom_site_fract_x
_atom_site_fract_y
_atom_site_fract_z
_atom_site_occupancy
K1 0.000 0.000 0.000 1
Mo1 0.000 0.250 0.500 1
# Formation energy: 1752 meV/atom
# Total magnetization: 0.00 μB/f.u.
# DFT total energy: -0.4884 Ry/atom
# Energy relative to the lowest polymorph listed for this composition: 4.06 eV per formula unit
# Calculated density: 7.54 g/cm³

=====

Q: Look up the total magnetization of the eighth one.
A: 0.00 μB/f.u.

=====

Q: Which formula does entry 7 have?
A: Y2BTe